[1]
DFT (GGA-PBE) results for a relaxed HfSn2Pt crystal.

It has space group F-43m (No. 216), with a = 6.990 Å, b = 6.990 Å, c = 6.990 Å, α = 90.00°, β = 90.00° and γ = 90.00°. The asymmetric unit holds Hf at (0.000, 0.000, 0.000), Sn at (0.000, 0.000, 0.500), Sn at (0.250, 0.250, 0.250) and Pt at (0.250, 0.250, 0.750).

Its total magnetization is 0.03 μB per formula unit. The energy is -6.1068 eV per atom. As for the volume: 341 Å³/cell.

***

[2]
DFT (GGA-PBE) results for a relaxed NbGaFe2 crystal.

It has space group Pnma (No. 62), with a = 6.812 Å, b = 6.675 Å, c = 4.942 Å, α = 90.00°, β = 90.00° and γ = 90.00°. The asymmetric unit holds Nb at (0.045, 0.250, 0.137), Ga at (0.103, 0.750, 0.363) and Fe at (0.192, 0.055, 0.581).

Its total magnetization is 3.06 μB per formula unit. The energy is -7.4077 eV per atom. As for the volume: 225 Å³/cell.